This record from the Alexandria database describes LiB6H6 at its PBEsol-relaxed geometry. The functional is SCAN.

**Spin magnetization**: 0.00 μB per formula unit
**Uncorrected energy**: -5.526 eV/atom
**Space-group type**: No. 202
**ΔE to the lowest computed polymorph**: 0.052 eV per atom
**Fermi-level density of states**: 0.00 states/eV/cell

Geometry as POSCAR:
```
LiB6H6
1.0
6.952 0.000 0.000
3.476 6.021 0.000
3.476 2.007 5.677
H B Li
12 12 2
Direct
0.106 0.598 0.402
0.894 0.402 0.598
0.402 0.894 0.106
0.598 0.106 0.894
0.894 0.106 0.402
0.106 0.894 0.598
0.598 0.402 0.106
0.402 0.598 0.894
0.598 0.894 0.402
0.402 0.106 0.598
0.106 0.402 0.894
0.894 0.598 0.106
0.057 0.765 0.235
0.943 0.235 0.765
0.235 0.943 0.057
0.765 0.057 0.943
0.943 0.057 0.235
0.057 0.943 0.765
0.765 0.235 0.057
0.235 0.765 0.943
0.765 0.943 0.235
0.235 0.057 0.765
0.057 0.235 0.943
0.943 0.765 0.057
0.750 0.750 0.750
0.250 0.250 0.250
```

This record from the Alexandria database describes LiBH4 at its PBEsol-relaxed geometry. The functional is SCAN.

**Spin magnetization**: 0.00 μB per formula unit
**Uncorrected energy**: -4.310 eV/atom
**Space-group type**: No. 40
**ΔE to the lowest computed polymorph**: 0.021 eV per atom
**Fermi-level density of states**: 0.00 states/eV/cell

Geometry as POSCAR:
```
LiBH4
1.0
3.943 -0.007 0.000
-0.044 3.943 0.000
0.000 0.000 6.183
H B Li
8 2 2
Direct
0.528 0.167 0.589
0.167 0.528 0.411
0.528 0.167 0.911
0.167 0.528 0.089
0.741 0.773 0.750
0.773 0.741 0.250
0.258 0.808 0.750
0.808 0.258 0.250
0.516 0.985 0.750
0.985 0.516 0.250
0.000 0.000 0.500
0.000 0.000 0.000
```

This record from the Alexandria database describes LiB5H5 at its PBEsol-relaxed geometry. The functional is SCAN.

**Spin magnetization**: 0.00 μB per formula unit
**Uncorrected energy**: -5.470 eV/atom
**Space-group type**: No. 181
**Fermi-level density of states**: 0.00 states/eV/cell

Geometry as POSCAR:
```
LiB5H5
1.0
-3.782 2.147 -5.462
3.004 -6.302 -0.095
-11.951 -5.786 6.001
Li B H
6 30 30
Direct
0.000 0.500 0.422
0.500 0.000 0.089
0.500 0.500 0.756
0.500 0.000 0.578
0.000 0.500 0.911
0.500 0.500 0.244
0.653 0.306 0.333
0.653 0.347 0.000
0.694 0.347 0.667
0.347 0.694 0.333
0.347 0.653 0.000
0.306 0.653 0.667
0.733 0.125 0.367
0.392 0.267 0.034
0.875 0.608 0.700
0.267 0.875 0.367
0.608 0.733 0.034
0.125 0.392 0.700
0.125 0.733 0.633
0.267 0.392 0.966
0.608 0.875 0.300
0.875 0.267 0.633
0.733 0.608 0.966
0.392 0.125 0.300
0.490 0.122 0.415
0.632 0.510 0.082
0.878 0.368 0.749
0.510 0.878 0.415
0.368 0.490 0.082
0.122 0.632 0.749
0.122 0.490 0.585
0.510 0.632 0.918
0.368 0.878 0.251
0.878 0.510 0.585
0.490 0.368 0.918
0.632 0.122 0.251
0.753 0.506 0.333
0.753 0.247 0.000
0.494 0.247 0.667
0.247 0.494 0.333
0.247 0.753 0.000
0.506 0.753 0.667
0.916 0.183 0.397
0.267 0.084 0.064
0.817 0.733 0.731
0.084 0.817 0.397
0.733 0.916 0.064
0.183 0.267 0.731
0.183 0.916 0.603
0.084 0.267 0.936
0.733 0.817 0.269
0.817 0.084 0.603
0.916 0.733 0.936
0.267 0.183 0.269
0.462 0.196 0.486
0.734 0.538 0.153
0.804 0.266 0.819
0.538 0.804 0.486
0.266 0.462 0.153
0.196 0.734 0.819
0.196 0.462 0.514
0.538 0.734 0.847
0.266 0.804 0.181
0.804 0.538 0.514
0.462 0.266 0.847
0.734 0.196 0.181
```